# 1
This record from the Alexandria database describes a relaxed structure of KRb2IBr6. The functional is PBE.

Results
Formation energy (no corrections): -0.95 eV per atom
Size of the total moment: 0.00 μB/f.u.
Space group: No. 139

Unit cell a=8.1912 b=8.1912 c=9.0371 alpha=63.05 beta=63.05 gamma=90.00
Element x y z (fractional)
Br (0.2303, 0.2303, 0.0000)
Br (0.7262, 0.7262, 0.5477)
Br (0.7697, 0.2303, 0.0000)
Br (0.2738, 0.2738, 0.4523)
Br (0.7697, 0.7697, 0.0000)
Br (0.2303, 0.7697, 0.0000)
I (0.0000, 0.0000, 0.0000)
Rb (0.7500, 0.2500, 0.5000)
Rb (0.2500, 0.7500, 0.5000)
K (0.5000, 0.5000, 0.0000)

# 2
This record from the Alexandria database describes a relaxed structure of CuAgO2. The functional is PBE.

Results
Formation energy (no corrections): -0.35 eV per atom
Size of the total moment: 0.00 μB/f.u.
Space group: No. 2

Unit cell a=2.8307 b=3.5130 c=5.9880 alpha=70.76 beta=90.25 gamma=113.02
Element x y z (fractional)
O (0.1199, 0.2515, 0.7885)
O (0.8801, 0.7485, 0.2115)
Ag (0.0000, 0.0000, 0.5000)
Cu (0.5000, 0.0000, 0.0000)

# 3
This record from the Alexandria database describes a relaxed structure of SnTeHOs2. The functional is PBE.

Results
Raw total energy: -0.3099 Ry/atom
Size of the total moment: 2.72 μB/f.u.
Space group: No. 123

Unit cell a=4.8611 b=6.0331 c=4.8611 alpha=90.00 beta=90.00 gamma=90.00
Last column: magnetic moment on the atom in μB.
Element x y z (fractional)
Os (0.0000, 0.0000, 0.5000)  0.82
Os (0.5000, 0.0000, 0.0000)  1.12
H (0.5000, 0.5000, 0.5000)  0.27
Sn (0.0000, 0.5000, 0.0000)  -0.04
Te (0.0000, 0.0000, 0.0000)  -0.01

# 4
This record from the Alexandria database describes a relaxed structure of YTa2Ir. The functional is PBE.

Results
Distance to the lowest polymorph of the same formula: 0.1704 eV/atom
Formation enthalpy at 0 K: -13 meV per atom
Size of the total moment: 0.00 μB/f.u.
Space group: No. 216

Unit cell a=4.7386 b=4.7386 c=4.7386 alpha=60.00 beta=60.00 gamma=60.00
Element x y z (fractional)
Y (0.2500, 0.2500, 0.2500)
Ta (0.7500, 0.7500, 0.7500)
Ta (0.0000, 0.0000, 0.0000)
Ir (0.5000, 0.5000, 0.5000)

# 5
This record from the Alexandria database describes a relaxed structure of Sr2TeBr. The functional is PBE.

Results
Formation energy (no corrections): -1.42 eV per atom
Distance to the lowest polymorph of the same formula: 0.1413 eV/atom
Size of the total moment: 0.00 μB/f.u.
Space group: No. 225

Unit cell a=5.6615 b=5.6615 c=5.6615 alpha=60.00 beta=60.00 gamma=60.00
Element x y z (fractional)
Sr (0.7500, 0.7500, 0.7500)
Sr (0.2500, 0.2500, 0.2500)
Te (0.5000, 0.5000, 0.5000)
Br (0.0000, 0.0000, 0.0000)

# 6
This record from the Alexandria database describes a relaxed structure of CsPuTeSe3. The functional is PBE.

Results
Formation energy (no corrections): -0.88 eV per atom
Size of the total moment: 3.61 μB/f.u.
Space group: No. 11

Unit cell a=4.2524 b=9.4925 c=11.0152 alpha=114.29 beta=90.00 gamma=90.00
Last column: magnetic moment on the atom in μB.
Element x y z (fractional)
Se (0.7500, 0.8558, 0.1084)  -0.11
Se (0.2500, 0.5541, 0.8818)  -0.19
Se (0.7500, 0.3326, 0.5817)  -0.29
Se (0.7500, 0.4459, 0.1182)  -0.19
Se (0.2500, 0.1442, 0.8916)  -0.11
Se (0.2500, 0.6674, 0.4183)  -0.29
Te (0.7500, 0.9113, 0.3560)  -0.13
Te (0.2500, 0.0887, 0.6440)  -0.13
Pu (0.7500, 0.3356, 0.8304)  4.68
Pu (0.2500, 0.6644, 0.1696)  4.68
Cs (0.2500, 0.2446, 0.2836)  -0.01
Cs (0.7500, 0.7554, 0.7164)  -0.01